Crystalline K3NaAl2F9 at its relaxed geometry. Source: the Alexandria database, functional PBE.

```
data_K3NaAl2F9
_space_group_name_H-M_alt 'P -3 m 1'
_space_group_IT_number 164
_space_group_name_Hall '-P 3 2"'
_cell_length_a 5.8751
_cell_length_b 5.8751
_cell_length_c 7.1707
_cell_angle_alpha 90.00
_cell_angle_beta 90.00
_cell_angle_gamma 120.00
loop_
_atom_site_label
_atom_site_type_symbol
_atom_site_fract_x
_atom_site_fract_y
_atom_site_fract_z
_atom_site_occupancy
K1 K 0.0000 0.0000 0.0000 1
K2 K 0.3333 0.6667 0.6594 1
Na1 Na 0.0000 0.0000 0.5000 1
Al1 Al 0.3333 0.6667 0.1621 1
F1 F 0.0000 0.5000 0.0000 1
F2 F 0.1843 0.3687 0.3053 1
```

Calculated values
The total energy comes out at -73.6 eV for the cell shown. As for the calculated volume: 14.29 A^3/atom. As for the formation energy (no corrections): -2.978 eV per atom.